Record 1
# ZrTl2Ge4

ZrTl2Ge4 after structural relaxation (GGA-PBE, the Open Quantum Materials Database).

a b c (Å): 8.2443 8.2443 8.2443
angles (deg): 142.56 142.56 53.99
With the nearest neighbours (Å) after each atom.
Fractional coordinates of all 7 atoms:
Ge: 0.1776 0.1776 0.0000  1 Zr 2.61, 1 Tl 2.87
Ge: 0.8224 0.8224 0.0000  1 Zr 2.61, 1 Tl 2.87
Ge: 0.5000 0.0000 0.5000  2 Zr 2.65
Ge: 0.0000 0.5000 0.5000  2 Zr 2.65
Tl: 0.3732 0.3732 0.0000  1 Ge 2.87
Tl: 0.6268 0.6268 0.0000  1 Ge 2.87
Zr: 0.0000 0.0000 0.0000  6 Ge 2.61-2.65

SG: I4/mmm (139)

Record 2
# GaSbW

GaSbW after structural relaxation (GGA-PBE, the Open Quantum Materials Database).

a b c (Å): 4.5436 4.5436 4.5436
angles (deg): 60.00 60.00 60.00
With the nearest neighbours (Å) after each atom.
Fractional coordinates of all 3 atoms:
Ga: 0.2500 0.2500 0.2500  4 Sb 2.78
Sb: 0.0000 0.0000 0.0000  4 Ga 2.78, 4 W 2.78
W: 0.7500 0.7500 0.7500  4 Sb 2.78

SG: F-43m (216)
Distance to the lowest polymorph of the same formula in kJ/mol of formula units: 98

Record 3
# ErScBe

ErScBe after structural relaxation (GGA-PBE, the Open Quantum Materials Database).

a b c (Å): 4.5966 4.5966 4.5966
angles (deg): 60.00 60.00 60.00
With the nearest neighbours (Å) after each atom.
Fractional coordinates of all 3 atoms:
Be: 0.2500 0.2500 0.2500  4 Er 2.81
Er: 0.0000 0.0000 0.0000  4 Be 2.81, 4 Sc 2.81
Sc: 0.7500 0.7500 0.7500  4 Er 2.81

SG: F-43m (216)
Distance to the lowest polymorph of the same formula in kJ/mol of formula units: 24

no.,E (eV per atom)
1,-4.134
2,-5.667
3,-3.888